[1]
A geometry-optimized LiSn2HgCl6 structure. Source: Alexandria via LeMat-Bulk, functional PBE-GGA.

Cell lengths 7.5871, 7.4645, 7.8620 Å; angles 88.38, 117.69, 125.70 degrees
Each line ends with the local moment (μB).
Fractional positions:
Sn: 0.5791 0.7698 0.3821  0.00
Sn: 0.5939 0.3113 0.9101  0.01
Li: 0.0129 0.0237 0.9826  0.00
Cl: 0.1388 0.2220 0.7337  0.05
Cl: 0.4428 0.1020 0.1523  0.05
Cl: 0.7586 0.6026 0.6470  0.06
Cl: 0.5186 0.8863 0.6499  0.07
Cl: 0.8291 0.7186 0.1421  0.01
Cl: 0.0978 0.3562 0.1823  0.02
Hg: 0.9940 0.4852 0.5204  0.32

Total magnetic moment (Bohr magnetons per cell): 0.82
Energy (eV per cell): -30.897

---

[2]
A geometry-optimized SrLi2HgCl6 structure. Source: Alexandria via LeMat-Bulk, functional PBE-GGA.

Cell lengths 6.8054, 6.8013, 7.2624 Å; angles 62.04, 62.03, 59.99 degrees
Fractional positions:
Cl: 0.7384 0.1471 0.7476
Cl: 0.3668 0.7384 0.7478
Cl: 0.1471 0.3667 0.7477
Cl: 0.2485 0.8969 0.2393
Cl: 0.6158 0.2483 0.2390
Cl: 0.8971 0.6156 0.2392
Li: 0.0174 0.0181 0.9459
Li: 0.5111 0.5114 0.4664
Sr: 0.8090 0.8088 0.5732
Hg: 0.3104 0.3103 0.0691

Total magnetic moment (Bohr magnetons per cell): 0.00
Energy (eV per cell): -32.874

---

[3]
A geometry-optimized LiTa2HgCl structure. Source: Alexandria via LeMat-Bulk, functional PBE-GGA.

Cell lengths 5.1935, 5.0132, 5.1935 Å; angles 90.00, 90.00, 90.00 degrees
Each line ends with the local moment (μB).
Fractional positions:
Li: 0.0000 0.5000 0.0000  -0.01
Hg: 0.0000 0.0000 0.0000  0.00
Ta: 0.0000 0.0000 0.5000  0.99
Ta: 0.5000 0.0000 0.0000  1.05
Cl: 0.5000 0.5000 0.5000  0.02

Energy above the lowest structure with this stoichiometry (meV per atom): 375
Total magnetic moment (Bohr magnetons per cell): 3.08
Energy (eV per cell): -19.969

---

[4]
A geometry-optimized LiTa2HgCl structure. Source: Alexandria via LeMat-Bulk, functional PBE-GGA.

Cell lengths 4.7937, 3.9206, 4.7937 Å; angles 90.00, 90.00, 90.00 degrees
Fractional positions:
Hg: 0.5000 0.5000 0.5000
Cl: 0.0000 0.5000 0.0000
Li: 0.0000 0.0000 0.0000
Ta: 0.0000 0.0000 0.5000
Ta: 0.5000 0.0000 0.0000

Energy above the lowest structure with this stoichiometry (meV per atom): 0
Total magnetic moment (Bohr magnetons per cell): 0.00
Energy (eV per cell): -21.842

---

[5]
A geometry-optimized LiHg2TeCl structure. Source: Alexandria via LeMat-Bulk, functional PBE-GGA.

Cell lengths 5.5867, 9.7872, 5.5867 Å; angles 90.00, 90.00, 90.00 degrees
Fractional positions:
Hg: 0.5000 0.0000 0.0000
Hg: 0.0000 0.0000 0.5000
Li: 0.5000 0.5000 0.5000
Cl: 0.0000 0.5000 0.0000
Te: 0.0000 0.0000 0.0000

Total magnetic moment (Bohr magnetons per cell): 0.00
Energy (eV per cell): -7.958

---

[6]
A geometry-optimized LiTlHg2Cl6 structure. Source: Alexandria via LeMat-Bulk, functional PBE-GGA.

Cell lengths 7.5792, 9.8430, 9.8430 Å; angles 97.23, 74.69, 74.69 degrees
Fractional positions:
Cl: 0.7990 0.0418 0.2112
Cl: 0.2010 0.9582 0.7888
Cl: 0.5010 0.4408 0.3017
Cl: 0.9375 0.3657 0.8560
Cl: 0.4990 0.5592 0.6983
Cl: 0.5625 0.1440 0.6343
Cl: 0.4375 0.8560 0.3657
Cl: 0.7010 0.7888 0.9582
Cl: 0.2990 0.2112 0.0418
Cl: 0.0010 0.3017 0.4408
Cl: 0.9990 0.6983 0.5592
Cl: 0.0625 0.6343 0.1440
Hg: 0.0831 0.4403 0.2673
Hg: 0.9169 0.5597 0.7327
Hg: 0.5831 0.2673 0.4403
Hg: 0.4169 0.7327 0.5597
Li: 0.7500 0.8127 0.1873
Li: 0.2500 0.1873 0.8127
Tl: 0.2500 0.9126 0.0874
Tl: 0.7500 0.0874 0.9126

Total magnetic moment (Bohr magnetons per cell): 0.00
Energy (eV per cell): -50.057